# GGA-PBE LaNdTePb, optimized geometry
# DFT total energy (eV for the cell shown): -62.480
# Formation energy from raw total energies (eV per atom): -1.07
data_LaNdTePb
_symmetry_space_group_name_H-M 'R 3 m'
_symmetry_Int_Tables_number 160
_symmetry_space_group_name_Hall 'R 3 -2"'
_cell_length_a 4.6045
_cell_length_b 4.6045
_cell_length_c 22.5191
_cell_angle_alpha 90.00
_cell_angle_beta 90.00
_cell_angle_gamma 120.00
loop_
_atom_site_label
_atom_site_type_symbol
_atom_site_fract_x
_atom_site_fract_y
_atom_site_fract_z
_atom_site_occupancy
La1 La 0.0000 0.0000 0.0000 1
Nd1 Nd 0.0000 0.0000 0.5040 1
Te1 Te 0.0000 0.0000 0.7534 1
Pb1 Pb 0.0000 0.0000 0.2504 1